Below is a relaxed structure of Ca2AcMoO6, with properties calculated at the PBE+U level.

Output
spin magnetization	1.0	μB/f.u.
electronic total energy	-7.12	eV/atom
symmetry	P1 (1)

POSCAR file:
```
Ca2AcMoO6
1.0
-0.5805 2.0550 -5.4893
-3.8656 -2.4161 -3.6300
-5.0634 3.1860 -1.4959
O Ca Ac Mo
6 2 1 1
Cartesian
-2.3855 1.3924 -4.2944
-4.0138 1.3885 -7.7998
-5.5945 1.7875 -3.3854
-6.7874 1.6812 -5.7844
-5.1047 -1.1778 -5.1619
-4.8589 3.5071 -5.4235
-4.4018 1.1330 -5.4459
-4.8180 2.9421 -1.5676
-6.5400 1.6078 -8.1704
-1.6154 0.0334 -2.9796
```